# 1
# SiIr2Br

A relaxed SiIr2Br crystal (PBE, the Alexandria database). Values from VASP.

```
&SYSTEM
  ibrav = 0, nat = 4, ntyp = 3
/
ATOMIC_SPECIES
Br 79.90 Br.upf
Ir 192.22 Ir.upf
Si 28.09 Si.upf
CELL_PARAMETERS angstrom
4.511 0.000 0.000
2.256 3.907 0.000
2.256 1.302 3.684
ATOMIC_POSITIONS crystal
Br 0.500 0.500 0.500
Ir 0.250 0.250 0.250
Ir 0.000 0.000 0.000
Si 0.750 0.750 0.750
```

Computed properties:
The calculation puts the formation energy (no corrections) at 0.95 eV per atom. The value obtained for the energy above the most stable polymorph in this dataset is 1.004 eV per atom.

# 2
# PtPb2

A relaxed PtPb2 crystal (PBE, the Alexandria database). Values from VASP.

```
&SYSTEM
  ibrav = 0, nat = 6, ntyp = 2
/
ATOMIC_SPECIES
Pb 207.20 Pb.upf
Pt 195.08 Pt.upf
CELL_PARAMETERS angstrom
2.535 -4.390 0.000
2.535 4.390 0.000
0.000 0.000 6.588
ATOMIC_POSITIONS crystal
Pb 0.333 0.667 0.250
Pb 0.000 0.000 0.000
Pb 0.000 0.000 0.500
Pb 0.667 0.333 0.750
Pt 0.333 0.667 0.750
Pt 0.667 0.333 0.250
```

Computed properties:
Its formation energy is -0.0214 eV/atom.

# 3
# Ce5TlBi4

A relaxed Ce5TlBi4 crystal (PBE, the Alexandria database). Values from VASP.

```
&SYSTEM
  ibrav = 0, nat = 10, ntyp = 3
/
ATOMIC_SPECIES
Bi 208.98 Bi.upf
Ce 140.12 Ce.upf
Tl 204.38 Tl.upf
CELL_PARAMETERS angstrom
6.476 0.000 0.000
3.238 7.245 0.000
3.238 0.000 7.245
ATOMIC_POSITIONS crystal
Bi 0.200 0.202 0.400
Bi 0.600 0.600 0.202
Bi 0.402 0.400 0.798
Bi 0.802 0.798 0.600
Ce 0.102 0.600 0.198
Ce 0.300 0.802 0.600
Ce 0.900 0.400 0.802
Ce 0.501 0.000 0.000
Ce 0.702 0.198 0.400
Tl 0.001 0.000 0.000
```

Computed properties:
Its formation energy is -0.6154 eV/atom.

# 4
# ReAg2W

A relaxed ReAg2W crystal (PBE, the Alexandria database). Values from VASP.

```
&SYSTEM
  ibrav = 0, nat = 4, ntyp = 3
/
ATOMIC_SPECIES
Re 186.21 Re.upf
W 183.84 W.upf
Ag 107.87 Ag.upf
CELL_PARAMETERS angstrom
5.288 0.000 0.000
2.584 4.614 0.000
-3.936 -2.307 2.674
ATOMIC_POSITIONS crystal
Re 0.250 0.750 0.500
W 0.750 0.250 0.500
Ag 0.500 0.500 0.000
Ag 0.000 0.000 0.000
```

Computed properties:
The value obtained for the energy above the most stable polymorph in this dataset is 0.324 eV per atom. Its formation energy is 0.6810 eV/atom.

Quick rundown of total DFT energy (no corrections), same order as above: -21.00 -27.04 -53.71 -28.38 eV for the cell shown
Quick rundown of total moment, same order as above: 0.00 0.00 3.59 0.00 Bohr magnetons per cell